Entry 1:
The following is a PBE calculation of a relaxed HfZr3I crystal, from Alexandria via LeMat-Bulk.

## Properties
* E above lowest polymorph: 0 kJ/mol of formula units
* energy relative to the elements, uncorrected: 4.40 eV/f.u.

Cell: 5.197 5.197 5.197 Å, 90.00 90.00 90.00°
Space group Pm-3m (No. 221)
Symmetry-distinct sites (fractional):
Hf1 0.000 0.000 0.000 [1 per cell]
Zr1 0.000 0.500 0.500 [3 per cell]
I1 0.500 0.500 0.500 [1 per cell]


Entry 2:
The following is a PBE calculation of a relaxed Pr8InNi2 crystal, from Alexandria via LeMat-Bulk.

## Properties
* ΔE_f: -0.1144 eV per atom

Cell: 8.850 13.979 5.578 Å, 90.00 104.58 90.00°
Space group C2/m (No. 12)
Symmetry-distinct sites (fractional):
Pr1 0.000 0.249 0.000 [4 per cell]
Pr2 0.104 0.500 0.804 [4 per cell]
Pr3 0.204 0.126 0.565 [8 per cell]
In1 0.000 0.000 0.000 [2 per cell]
Ni1 0.000 0.299 0.500 [4 per cell]


Entry 3:
The following is a PBE calculation of a relaxed SrNiRh3 crystal, from Alexandria via LeMat-Bulk.

## Properties
* E above lowest polymorph: 0 kJ/mol of formula units
* ΔE_f: 0.4469 eV per atom

Cell: 4.630 4.630 4.630 Å, 90.00 90.00 90.00°
Space group Pm-3m (No. 221)
Symmetry-distinct sites (fractional):
Sr1 0.000 0.000 0.000 [1 per cell]
Ni1 0.500 0.500 0.500 [1 per cell]
Rh1 0.000 0.500 0.500 [3 per cell]


Entry 4:
The following is a PBE calculation of a relaxed SrBeAs crystal, from Alexandria via LeMat-Bulk.

## Properties
* E above lowest polymorph: 206 kJ/mol of formula units
* ΔE_f: 0.0634 eV per atom

Cell: 6.756 6.756 6.756 Å, 90.00 90.00 90.00°
Space group F-43m (No. 216)
Symmetry-distinct sites (fractional):
Sr1 0.000 0.000 0.000 [4 per cell]
Be1 0.000 0.000 0.500 [4 per cell]
As1 0.250 0.250 0.250 [4 per cell]